This record from Alexandria describes a geometry-optimized Zn2Cu structure. The functional is GGA-PBEsol.

Summary:
- formation energy from the elements (meV/atom) = -64

The structure in CIF format:
```
data_Zn2Cu
_cell_length_a 2.6522
_cell_length_b 2.6522
_cell_length_c 18.9353
_cell_angle_alpha 90.00
_cell_angle_beta 90.00
_cell_angle_gamma 120.00
_space_group_name_H-M_alt 'R -3 m'
_space_group_IT_number 166
_space_group_name_Hall '-R 3 2"'
loop_
_atom_site_label
_atom_site_type_symbol
_atom_site_fract_x
_atom_site_fract_y
_atom_site_fract_z
Zn1 Zn 0.0000 0.0000 0.2255
Cu1 Cu 0.0000 0.0000 0.0000
```


This record from Alexandria describes a geometry-optimized ZnCu2 structure. The functional is GGA-PBEsol.

Summary:
- formation energy from the elements (meV/atom) = -81

The structure in CIF format:
```
data_ZnCu2
_cell_length_a 3.6400
_cell_length_b 10.9099
_cell_length_c 3.6062
_cell_angle_alpha 90.00
_cell_angle_beta 90.00
_cell_angle_gamma 90.00
_space_group_name_H-M_alt 'C m m m'
_space_group_IT_number 65
_space_group_name_Hall '-C 2 2'
loop_
_atom_site_label
_atom_site_type_symbol
_atom_site_fract_x
_atom_site_fract_y
_atom_site_fract_z
Zn1 Zn 0.0000 0.1640 0.0000
Cu1 Cu 0.0000 0.0000 0.5000
Cu2 Cu 0.0000 0.3350 0.5000
Cu3 Cu 0.0000 0.5000 0.0000
```


This record from Alexandria describes a geometry-optimized ZnCu2 structure. The functional is GGA-PBEsol.

Summary:
- formation energy from the elements (meV/atom) = -17

The structure in CIF format:
```
data_ZnCu2
_cell_length_a 7.0485
_cell_length_b 7.0485
_cell_length_c 2.5317
_cell_angle_alpha 90.00
_cell_angle_beta 90.00
_cell_angle_gamma 120.00
_space_group_name_H-M_alt 'P -3 1 m'
_space_group_IT_number 162
_space_group_name_Hall '-P 3 2'
loop_
_atom_site_label
_atom_site_type_symbol
_atom_site_fract_x
_atom_site_fract_y
_atom_site_fract_z
Zn1 Zn 0.0000 0.0000 0.0000
Zn2 Zn 0.3333 0.6667 0.5000
Cu1 Cu 0.0000 0.3352 0.7798
```


Number 1: volume 38 Å³/f.u.. Number 2: volume 36 Å³/f.u.. Number 3: volume 36 Å³/f.u..